[1]
A relaxed BaNa2ZnSn2 crystal, computed with PBE-GGA.

Cell lengths 4.9123, 8.2630, 8.9956 Å; angles 90.00, 90.00, 90.00 degrees
Sites, in units of the cell vectors:
Ba (0.0000, 0.0170, 0.4244)
Ba (0.0000, 0.5170, 0.5756)
Na (0.5000, 0.0138, 0.0432)
Na (0.0000, 0.3044, 0.1232)
Na (0.5000, 0.5138, 0.9568)
Na (0.0000, 0.8044, 0.8768)
Zn (0.5000, 0.1972, 0.6518)
Zn (0.5000, 0.6972, 0.3482)
Sn (0.0000, 0.1712, 0.8025)
Sn (0.5000, 0.3420, 0.3452)
Sn (0.0000, 0.6712, 0.1975)
Sn (0.5000, 0.8420, 0.6548)

## Properties
ΔH_f (0 K)	-0.25	eV/atom
energy	-30.73	eV for the cell shown
size of the total moment	0.0	μB/cell



[2]
A relaxed Zr2ScBiH crystal, computed with PBE-GGA.

Cell lengths 4.3939, 4.3939, 4.8018 Å; angles 90.00, 90.00, 90.00 degrees
Sites, in units of the cell vectors:
Sc (0.0000, 0.0000, 0.5000)
H (0.0000, 0.0000, 0.0000)
Bi (0.5000, 0.5000, 0.5000)
Zr (0.0000, 0.5000, 0.0000)
Zr (0.5000, 0.0000, 0.0000)

## Properties
energy	-32.56	eV for the cell shown
size of the total moment	0.0	μB/cell



[3]
A relaxed Tl2InAg crystal, computed with PBE-GGA.

Cell lengths 6.1606, 6.1606, 5.5642 Å; angles 67.62, 67.62, 33.30 degrees
Sites, in units of the cell vectors:
Tl (0.9891, 0.9891, 0.0340)
Tl (0.7780, 0.7780, 0.6906)
Ag (0.5143, 0.5143, 0.5398)
In (0.2186, 0.2186, 0.2357)

## Properties
ΔH_f (0 K)	0.08	eV/atom
energy	-9.98	eV for the cell shown
polymorph energy (0 for the lowest one)	41	meV per atom
size of the total moment	0.0	μB/cell



[4]
A relaxed Te2H2Au crystal, computed with PBE-GGA.

Cell lengths 4.1807, 4.4022, 7.0706 Å; angles 108.93, 90.00, 118.35 degrees
Sites, in units of the cell vectors:
Te (0.3298, 0.6596, 0.7284)
Te (0.6702, 0.3404, 0.2716)
H (0.4804, 0.9607, 0.3356)
H (0.5196, 0.0393, 0.6644)
Au (0.0000, 0.0000, 0.0000)

## Properties
energy	-15.58	eV for the cell shown
polymorph energy (0 for the lowest one)	27	meV per atom
size of the total moment	0.0	μB/cell



[5]
A relaxed KMgTeSe3 crystal, computed with PBE-GGA.

Cell lengths 4.4953, 7.7742, 11.9268 Å; angles 105.35, 90.00, 90.00 degrees
Sites, in units of the cell vectors:
K (0.2500, 0.0726, 0.1614)
K (0.7500, 0.9274, 0.8386)
Mg (0.2500, 0.5358, 0.1152)
Mg (0.7500, 0.4642, 0.8848)
Te (0.2500, 0.3144, 0.5951)
Te (0.7500, 0.6856, 0.4049)
Se (0.7500, 0.7957, 0.2244)
Se (0.2500, 0.2043, 0.7756)
Se (0.2500, 0.5017, 0.3565)
Se (0.7500, 0.4983, 0.6435)
Se (0.7500, 0.3183, 0.0599)
Se (0.2500, 0.6817, 0.9401)

## Properties
energy	-40.77	eV for the cell shown
size of the total moment	0.0	μB/cell
raw formation energy	-0.683	eV per atom



[6]
A relaxed InMoS2N crystal, computed with PBE-GGA.

Cell lengths 4.9912, 4.9912, 3.8742 Å; angles 90.00, 90.00, 90.00 degrees
Sites, in units of the cell vectors:
Mo (0.0000, 0.0000, 0.0000)
N (0.0000, 0.0000, 0.5000)
S (0.0000, 0.5000, 0.0000)
S (0.5000, 0.0000, 0.0000)
In (0.5000, 0.5000, 0.5000)

## Properties
energy	-30.35	eV for the cell shown
polymorph energy (0 for the lowest one)	0	meV per atom
size of the total moment	0.0	μB/cell
raw formation energy	-0.040	eV per atom